Ga2SnIrW | meta-GGA SCAN | single point on PBEsol structure

POSCAR file:
```
Ga2SnIrW
1.0
4.873 0.000 0.000
0.000 4.873 0.000
0.000 0.000 4.740
Ga Sn Ir W
2 1 1 1
direct
0.000 0.500 0.000 Ga
0.500 0.000 0.000 Ga
0.000 0.000 0.500 Sn
0.500 0.500 0.500 Ir
0.500 0.500 0.000 W
```

Values from the calculation:
The calculation puts the formation energy at 0.862 eV/atom. Its crystal system is tetragonal. For the total energy, the calculation gives -205.09 eV for the cell shown.